No. 1
# Na4AlCr3O8

A geometry-optimized Na4AlCr3O8 structure (PBE+U, Alexandria).

uncorrected energy	-6.519	eV/atom
total moment	27.0	Bohr magnetons per cell

Cell lengths 6.0193, 6.0193, 16.0939 Å; angles 90.00, 90.00, 120.00 degrees
Space group R-3m (No. 166, hexagonal axes)
One atom of each set of equivalent atoms:
Na 0.0000 0.0000 0.0000 [3 per cell]
Na 0.0000 0.5000 0.0000 [9 per cell]
Al 0.0000 0.0000 0.5000 [3 per cell]
Cr 0.0000 0.5000 0.5000 [9 per cell]
O 0.0000 0.0000 0.2326 [6 per cell]
O 0.0112 0.5056 0.2314 [18 per cell]

No. 2
# Na3AlCr3O8

A geometry-optimized Na3AlCr3O8 structure (PBE+U, Alexandria).

uncorrected energy	-6.667	eV/atom
total moment	16.0	Bohr magnetons per cell

Cell lengths 10.247, 5.942, 6.440 Å; angles 90.00, 122.05, 90.00 degrees
Space group C2/m (No. 12)
One atom of each set of equivalent atoms:
Na 0.000 0.000 0.000 [2 per cell]
Na 0.250 0.250 0.000 [4 per cell]
Al 0.000 0.000 0.500 [2 per cell]
Cr 0.000 0.500 0.500 [2 per cell]
Cr 0.250 0.250 0.500 [4 per cell]
O 0.020 0.240 0.316 [8 per cell]
O 0.225 0.000 0.686 [4 per cell]
O 0.233 0.500 0.696 [4 per cell]

No. 3
# Na2AlCrO4

A geometry-optimized Na2AlCrO4 structure (PBE+U, Alexandria).

uncorrected energy	-6.432	eV/atom
total moment	3.0	Bohr magnetons per cell

Cell lengths 5.154, 2.972, 5.629 Å; angles 90.00, 107.65, 90.00 degrees
Space group P2/m (No. 10)
One atom of each set of equivalent atoms:
Na 0.000 0.000 0.000 [1 per cell]
Na 0.500 0.500 0.000 [1 per cell]
Al 0.000 0.500 0.500 [1 per cell]
Cr 0.500 0.000 0.500 [1 per cell]
O 0.221 0.000 0.692 [2 per cell]
O 0.257 0.500 0.306 [2 per cell]

No. 4
# Na4AlCr3P8O28

A geometry-optimized Na4AlCr3P8O28 structure (PBE+U, Alexandria).

uncorrected energy	-7.127	eV/atom
total moment	9.0	Bohr magnetons per cell

Cell lengths 7.366, 7.951, 9.560 Å; angles 90.08, 111.62, 90.21 degrees
Space group P1 (No. 1)
One atom of each set of equivalent atoms:
Na 0.000 0.000 0.000 [1 per cell]
Na 0.001 0.549 0.498 [1 per cell]
Na 0.419 0.496 0.910 [1 per cell]
Na 0.421 0.050 0.409 [1 per cell]
Al 0.967 0.533 0.953 [1 per cell]
Cr 0.450 0.031 0.956 [1 per cell]
Cr 0.452 0.517 0.457 [1 per cell]
Cr 0.970 0.016 0.452 [1 per cell]
P 0.036 0.317 0.248 [1 per cell]
P 0.037 0.236 0.754 [1 per cell]
P 0.376 0.732 0.156 [1 per cell]
P 0.384 0.814 0.658 [1 per cell]
P 0.637 0.269 0.251 [1 per cell]
P 0.639 0.280 0.752 [1 per cell]
P 0.780 0.774 0.154 [1 per cell]
P 0.789 0.766 0.661 [1 per cell]
O 0.017 0.336 0.084 [1 per cell]
O 0.023 0.226 0.590 [1 per cell]
O 0.068 0.419 0.812 [1 per cell]
O 0.069 0.131 0.298 [1 per cell]
O 0.177 0.112 0.860 [1 per cell]
O 0.177 0.438 0.359 [1 per cell]
O 0.229 0.611 0.049 [1 per cell]
O 0.247 0.937 0.549 [1 per cell]
O 0.345 0.917 0.104 [1 per cell]
O 0.349 0.629 0.606 [1 per cell]
O 0.396 0.824 0.821 [1 per cell]
O 0.398 0.723 0.321 [1 per cell]
O 0.521 0.386 0.310 [1 per cell]
O 0.522 0.164 0.811 [1 per cell]
O 0.524 0.237 0.084 [1 per cell]
O 0.524 0.312 0.585 [1 per cell]
O 0.580 0.673 0.138 [1 per cell]
O 0.593 0.869 0.648 [1 per cell]
O 0.700 0.107 0.345 [1 per cell]
O 0.710 0.440 0.847 [1 per cell]
O 0.720 0.937 0.062 [1 per cell]
O 0.724 0.608 0.562 [1 per cell]
O 0.832 0.173 0.765 [1 per cell]
O 0.833 0.373 0.266 [1 per cell]
O 0.886 0.654 0.089 [1 per cell]
O 0.897 0.806 0.321 [1 per cell]
O 0.901 0.727 0.827 [1 per cell]
O 0.904 0.886 0.603 [1 per cell]

Q: Which of these has the lowest total moment?
A: Na2AlCrO4